Entry from the Alexandria database: a relaxed structure of K2MgHgAu (PBE).

## Properties
* E_tot: -1.584 eV per atom
* total magnetization: 0.0 μB/f.u.

Cell and atoms, written as extended XYZ:
```
5
Lattice="6.302 0.000 0.000 0.000 6.302 0.000 0.000 0.000 5.245" Properties=species:S:1:pos:R:3 pbc="T T T"
K 0.000 3.151 0.000
K 3.151 0.000 0.000
Mg 0.000 0.000 2.622
Hg 3.151 3.151 2.622
Au 0.000 0.000 0.000
```